Compound: Co2RePt
Source: Alexandria via LeMat-Bulk
Functional: PBE-GGA
Structure: relaxed

formation energy from the elements	1.22	eV/f.u.
crystal system	orthorhombic
relative energy among the computed polymorphs	1.271	eV/f.u.
raw total energy	-0.57840	Ry per atom
total moment	3.8	μB/f.u.

Cell lengths 2.6779, 4.4642, 4.6052 Å; angles 90.00, 90.00, 90.00 degrees
Last column: nearest neighbours and their distance in Å.
Space group Pmmm (No. 47)
One atom of each set of equivalent atoms:
1 Co 0.0000 0.0000 0.0000 [1 per cell]  4 Pt 2.60, 6 Co 2.66-2.68
2 Co 0.5000 0.0000 0.5000 [1 per cell]  4 Re 2.60, 6 Co 2.66-2.68
3 Re 0.0000 0.5000 0.5000 [1 per cell]  4 Co 2.60, 4 Pt 2.66, 2 Re 2.68
4 Pt 0.5000 0.5000 0.0000 [1 per cell]  4 Co 2.60, 4 Re 2.66, 2 Pt 2.68